Here is a relaxed YAlW crystal from OQMD. Energies are from PBE.

Values from the calculation:
Its space-group type is F-43m (216). For the energy above the lowest structure with this stoichiometry, the calculation gives 0.0000 eV/atom. The crystal system is cubic. The value obtained for the density is 6.92 Mg/m³. The total energy is -20.50 eV/f.u.

a b c (Å): 6.601 6.601 6.601
angles (deg): 90.00 90.00 90.00
Fractional positions:
Y1 0.000 0.000 0.000
Y2 0.000 0.500 0.500
Y3 0.500 0.000 0.500
Y4 0.500 0.500 0.000
Al1 0.000 0.000 0.500
Al2 0.000 0.500 0.000
Al3 0.500 0.000 0.000
Al4 0.500 0.500 0.500
W1 0.250 0.250 0.750
W2 0.250 0.750 0.250
W3 0.750 0.250 0.250
W4 0.750 0.750 0.750

Here is a relaxed TlSiAuS3 crystal from OQMD. Energies are from PBE.

Values from the calculation:
Its space-group type is Cmcm (63). The crystal system is orthorhombic. The value obtained for the density is 6.63 Mg/m³. The total energy is -24.65 eV/f.u.

a b c (Å): 8.113 8.113 9.723
angles (deg): 90.00 90.00 155.71
Fractional positions:
Tl1 0.197 0.803 0.750
Tl2 0.803 0.197 0.250
Si1 0.500 0.500 0.000
Si2 0.500 0.500 0.500
Au1 0.132 0.868 0.250
Au2 0.868 0.132 0.750
S1 0.101 0.899 0.017
S2 0.101 0.899 0.483
S3 0.460 0.540 0.250
S4 0.540 0.460 0.750
S5 0.899 0.101 0.517
S6 0.899 0.101 0.983

Here is a relaxed TlZnCuNi crystal from OQMD. Energies are from PBE.

Values from the calculation:
Its space-group type is F-43m (216). For the energy above the lowest structure with this stoichiometry, the calculation gives 0.0000 eV/atom. The crystal system is cubic. The value obtained for the density is 10.86 Mg/m³. The total energy is -12.31 eV/f.u.

a b c (Å): 6.213 6.213 6.213
angles (deg): 90.00 90.00 90.00
Fractional positions:
Tl1 0.000 0.000 0.000
Tl2 0.000 0.500 0.500
Tl3 0.500 0.000 0.500
Tl4 0.500 0.500 0.000
Zn1 0.000 0.000 0.500
Zn2 0.000 0.500 0.000
Zn3 0.500 0.000 0.000
Zn4 0.500 0.500 0.500
Cu1 0.250 0.250 0.250
Cu2 0.250 0.750 0.750
Cu3 0.750 0.250 0.750
Cu4 0.750 0.750 0.250
Ni1 0.250 0.250 0.750
Ni2 0.250 0.750 0.250
Ni3 0.750 0.250 0.250
Ni4 0.750 0.750 0.750

Here is a relaxed BaNaAsPt crystal from OQMD. Energies are from PBE.

Values from the calculation:
Its space-group type is F-43m (216). For the energy above the lowest structure with this stoichiometry, the calculation gives 0.1157 eV/atom. The crystal system is cubic. The value obtained for the density is 6.85 Mg/m³. The total energy is -14.95 eV/f.u.

a b c (Å): 7.471 7.471 7.471
angles (deg): 90.00 90.00 90.00
Fractional positions:
Ba1 0.000 0.000 0.000
Ba2 0.000 0.500 0.500
Ba3 0.500 0.000 0.500
Ba4 0.500 0.500 0.000
Na1 0.000 0.000 0.500
Na2 0.000 0.500 0.000
Na3 0.500 0.000 0.000
Na4 0.500 0.500 0.500
As1 0.250 0.250 0.250
As2 0.250 0.750 0.750
As3 0.750 0.250 0.750
As4 0.750 0.750 0.250
Pt1 0.250 0.250 0.750
Pt2 0.250 0.750 0.250
Pt3 0.750 0.250 0.250
Pt4 0.750 0.750 0.750